Density functional theory data (PBE) for an optimized crystal structure of CsRbV3.

abc: 5.983 5.983 5.983
angles: 90.00 90.00 90.00
Each line ends with the local moment (μB).
Fractional coordinates of all 5 atoms:
Cs  0.000  0.000  0.000  0.26
Rb  0.500  0.500  0.500  0.03
V  0.000  0.500  0.000  3.29
V  0.000  0.000  0.500  3.29
V  0.500  0.000  0.000  3.29

Space-group type: Pm-3m
Magnetic moment (μB/f.u.): 14.00
ΔH_f (0 K) (meV per atom): 2491